Entry 1:
The following is a PBE calculation of an optimized crystal structure of LiHSe, from Alexandria.

The space group is I4mm (No. 107) and the conventional cell measures 3.8549, 3.8549 and 7.9704 Å, with angles of 90.00, 90.00 and 90.00 degrees. Symmetry generates all atoms from Li at (0.0000, 0.0000, 0.0000), H at (0.0000, 0.0000, 0.6843) and Se at (0.0000, 0.0000, 0.4978).

As for the total magnetic moment: 0.000 μB per atom. The density of states at the Fermi level is 0.00 states/eV/atom. For the electronic total energy, the calculation gives -3.457 eV/atom.

---

Entry 2:
The following is a PBE calculation of an optimized crystal structure of TbThTc, from Alexandria.

The space group is P2_1/c (No. 14) and the conventional cell measures 6.5186, 6.9160 and 6.9195 Å, with angles of 90.00, 95.71 and 90.00 degrees. Symmetry generates all atoms from Tb at (0.0094, 0.1779, 0.3159), Th at (0.4989, 0.1869, 0.6917) and Tc at (0.2607, 0.0002, 0.0079).

The calculated formation energy comes out at -0.31 eV per formula unit. As for the total magnetic moment: 0.000 μB per atom. The density of states at the Fermi level is 0.95 states/eV/atom. For the electronic total energy, the calculation gives -7.575 eV/atom.